Record 1
## P2S2Br (GGA-PBE)

Data for crystalline P2S2Br at its relaxed geometry.

a b c (Å): 13.296 7.637 8.996
angles (deg): 36.48 42.43 29.75
Element x y z (fractional)
1 S 0.797 0.701 0.842
2 S 0.339 0.802 0.658
3 S 0.203 0.299 0.158
4 S 0.661 0.198 0.342
5 P 0.746 0.429 0.242
6 P 0.415 0.075 0.257
7 P 0.585 0.925 0.743
8 P 0.254 0.571 0.758
9 Br 0.842 0.249 0.750
10 Br 0.158 0.751 0.250

Calculated total energy, eV/atom: -4.19
Energy relative to the elements, uncorrected, eV per atom: -0.04



Record 2
## Ir2PbCl (GGA-PBE)

Data for crystalline Ir2PbCl at its relaxed geometry.

a b c (Å): 4.663 4.663 4.663
angles (deg): 60.00 60.00 60.00
Element x y z (fractional)
1 Ir 0.750 0.750 0.750
2 Ir 0.250 0.250 0.250
3 Pb 0.500 0.500 0.500
4 Cl 0.000 0.000 0.000

Calculated total energy, eV/atom: -4.86
Energy relative to the elements, uncorrected, eV per atom: 0.96



Record 3
## LiGaCl3 (GGA-PBE)

Data for crystalline LiGaCl3 at its relaxed geometry.

a b c (Å): 6.547 7.067 12.582
angles (deg): 90.00 94.85 90.00
Element x y z (fractional)
1 Cl 0.196 0.796 0.996
2 Cl 0.305 0.295 0.823
3 Cl 0.804 0.204 0.004
4 Cl 0.742 0.578 0.810
5 Cl 0.258 0.422 0.190
6 Cl 0.805 0.205 0.323
7 Cl 0.242 0.922 0.310
8 Cl 0.304 0.296 0.504
9 Cl 0.696 0.704 0.496
10 Cl 0.695 0.705 0.177
11 Cl 0.195 0.795 0.677
12 Cl 0.758 0.078 0.690
13 Ga 0.580 0.416 0.931
14 Ga 0.420 0.584 0.069
15 Ga 0.920 0.916 0.569
16 Ga 0.080 0.084 0.431
17 Li 0.604 0.887 0.332
18 Li 0.896 0.387 0.168
19 Li 0.104 0.613 0.832
20 Li 0.396 0.113 0.668

Calculated total energy, eV/atom: -3.43
Energy relative to the elements, uncorrected, eV per atom: -1.33



Which value of calculated total energy does entry 2 give? -4.86 eV/atom



Number 3 is which compound? LiGaCl3



Among the records above, which one has the highest calculated total energy? LiGaCl3



What is the calculated total energy in the first record? -4.19 eV/atom